[1]
An optimized crystal structure of LiPrDyCd. Source: Alexandria, functional PBE-GGA.

Lattice parameters (Å, degrees): 5.364 5.364 5.364 60.00 60.00 60.00
Atoms (fractional coordinates):
Li1 0.000 0.000 0.000
Pr1 0.750 0.750 0.750
Dy1 0.250 0.250 0.250
Cd1 0.500 0.500 0.500

Calculated values
For the size of the total moment, the calculation gives 0.00 μB per atom. As for the space group: F-43m. For the energy relative to the elements, the calculation gives -0.11 eV/atom.

---

[2]
An optimized crystal structure of LiDyCdPt. Source: Alexandria, functional PBE-GGA.

Lattice parameters (Å, degrees): 4.799 4.799 4.799 60.00 60.00 60.00
Atoms (fractional coordinates):
Li1 0.000 0.000 0.000
Dy1 0.250 0.250 0.250
Cd1 0.750 0.750 0.750
Pt1 0.500 0.500 0.500

Calculated values
For the size of the total moment, the calculation gives 0.00 μB per atom. As for the space group: F-43m. For the energy relative to the elements, the calculation gives -0.63 eV/atom.

---

[3]
An optimized crystal structure of LiDyCdRu. Source: Alexandria, functional PBE-GGA.

Lattice parameters (Å, degrees): 4.755 4.755 4.755 60.00 60.00 60.00
Atoms (fractional coordinates):
Li1 0.000 0.000 0.000
Dy1 0.750 0.750 0.750
Cd1 0.250 0.250 0.250
Ru1 0.500 0.500 0.500

Calculated values
For the size of the total moment, the calculation gives 0.00 μB per atom. As for the space group: F-43m. For the energy relative to the elements, the calculation gives -0.12 eV/atom.

---

[4]
An optimized crystal structure of LiDy2CdS4. Source: Alexandria, functional PBE-GGA.

Lattice parameters (Å, degrees): 6.710 3.890 6.949 90.00 108.46 90.00
Atoms (fractional coordinates):
Li1 0.000 0.000 0.000
Dy1 0.000 0.500 0.500
Dy2 0.500 0.000 0.500
Cd1 0.500 0.500 0.000
S1 0.246 0.000 0.742
S2 0.254 0.500 0.255
S3 0.746 0.500 0.745
S4 0.754 0.000 0.258

Calculated values
For the size of the total moment, the calculation gives 0.00 μB per atom. As for the space group: P2/m. As for the formation energy without anion corrections: -1505 meV/atom.

---

[5]
An optimized crystal structure of LiDyScCd. Source: Alexandria, functional PBE-GGA.

Lattice parameters (Å, degrees): 5.114 5.114 5.114 60.00 60.00 60.00
Atoms (fractional coordinates):
Li1 0.000 0.000 0.000
Dy1 0.250 0.250 0.250
Sc1 0.750 0.750 0.750
Cd1 0.500 0.500 0.500

Calculated values
For the size of the total moment, the calculation gives 0.00 μB per atom. As for the space group: F-43m. For the energy relative to the elements, the calculation gives -0.09 eV/atom.

---

[6]
An optimized crystal structure of LiDy2CdSe4. Source: Alexandria, functional PBE-GGA.

Lattice parameters (Å, degrees): 7.028 4.072 7.373 90.00 108.74 90.00
Atoms (fractional coordinates):
Li1 0.000 0.000 0.000
Dy1 0.000 0.500 0.500
Dy2 0.500 0.000 0.500
Cd1 0.500 0.500 0.000
Se1 0.246 0.000 0.738
Se2 0.252 0.500 0.258
Se3 0.748 0.500 0.742
Se4 0.754 0.000 0.262

Calculated values
For the size of the total moment, the calculation gives 0.00 μB per atom. As for the space group: P2/m. As for the formation energy without anion corrections: -1388 meV/atom.

---

[7]
An optimized crystal structure of Li2SmDyCd4. Source: Alexandria, functional PBE-GGA.

Lattice parameters (Å, degrees): 8.819 8.819 8.819 33.48 33.48 33.48
Atoms (fractional coordinates):
Li1 0.249 0.249 0.249
Li2 0.751 0.751 0.751
Sm1 0.000 0.000 0.000
Dy1 0.500 0.500 0.500
Cd1 0.126 0.126 0.126
Cd2 0.377 0.377 0.377
Cd3 0.623 0.623 0.623
Cd4 0.874 0.874 0.874

Calculated values
For the size of the total moment, the calculation gives 0.00 μB per atom. As for the space group: R-3m. For the energy relative to the elements, the calculation gives -0.27 eV/atom.

---

[8]
An optimized crystal structure of SrLiDyCd. Source: Alexandria, functional PBE-GGA.

Lattice parameters (Å, degrees): 5.501 5.501 5.501 60.00 60.00 60.00
Atoms (fractional coordinates):
Sr1 0.000 0.000 0.000
Li1 0.750 0.750 0.750
Dy1 0.500 0.500 0.500
Cd1 0.250 0.250 0.250

Calculated values
For the size of the total moment, the calculation gives 0.00 μB per atom. As for the space group: F-43m. For the energy relative to the elements, the calculation gives -0.07 eV/atom.

---

The following N(E_F) values (in states/eV/f.u.) correspond, in order, to the records above: 5.8; 4.3; 1.8; 3.9; 5.6; 4.2; 6.1; 3.7.